1.
DFT (PBE) results for a relaxed structure of K3Rb2WSe6.

a = 8.239 Å, b = 14.011 Å, c = 7.695 Å
α = 90.00°, β = 112.09°, γ = 90.00°
Space group C2/m (No. 12)
Inequivalent atoms, fractional coordinates:
K 0.000 0.000 0.000 x2
K 0.000 0.325 0.000 x4
Rb 0.000 0.165 0.500 x4
W 0.000 0.500 0.500 x2
Se 0.178 0.500 0.296 x4
Se 0.200 0.370 0.709 x8

Values from the calculation:
Crystal system: monoclinic


2.
DFT (PBE) results for a relaxed structure of KRb2WSe4.

a = 8.531 Å, b = 8.531 Å, c = 8.726 Å
α = 90.00°, β = 90.00°, γ = 90.00°
Space group I-4 (No. 82)
Inequivalent atoms, fractional coordinates:
K 0.000 0.000 0.000 x2
Rb 0.000 0.000 0.500 x2
Rb 0.000 0.500 0.750 x2
W 0.000 0.500 0.250 x2
Se 0.157 0.670 0.097 x8

Values from the calculation:
Crystal system: tetragonal


For each record above, in turn, the calculated E_form (uncorrected) values are -0.7373; -0.8016 eV per atom.
For each record above, in turn, the calculated total energy values are -3.995; -4.542 eV per atom.